[1]
This record from Alexandria via LeMat-Bulk describes a relaxed V crystal. The functional is GGA-PBE.

POSCAR file:
```
V
1.0
4.903 0.000 0.000
2.451 4.246 0.000
2.451 1.415 4.003
V
6
Cartesian
1.226 0.708 2.001 V
3.677 0.708 0.500 V
4.903 2.831 2.001 V
2.451 2.831 2.001 V
6.128 4.953 3.503 V
1.226 2.123 0.000 V
```

Calculated values
* DOS at the Fermi energy: 10.61 states/eV/cell
* ΔH_f (0 K): 0.15 eV/atom
* polymorph energy (0 for the lowest one): 148 meV per atom



[2]
This record from Alexandria via LeMat-Bulk describes a relaxed V crystal. The functional is GGA-PBE.

POSCAR file:
```
V
1.0
4.222 0.000 0.000
-2.111 3.656 0.000
0.000 0.000 2.338
V
2
Cartesian
0.000 2.438 1.169 V
2.111 1.219 1.169 V
```

Calculated values
* DOS at the Fermi energy: 3.97 states/eV/cell
* ΔH_f (0 K): 1.51 eV/atom
* polymorph energy (0 for the lowest one): 1512 meV per atom



The lowest polymorph energy (0 for the lowest one) belongs to which entry? number 1



DOS at the Fermi energy of number 1 (V)? 10.61 states/eV/cell